First-principles (PBEsol) data for an optimized crystal structure of YIrRh, as listed in Alexandria.

Summary:
Crystal system: tetragonal
Energy above the most stable polymorph in this dataset in meV per atom: 24
Energy relative to the elements in eV/f.u.: -0.5
N(E_F) in states/eV/atom: 1.444
Final energy in eV/f.u.: -25.2
Calculated density in g/cm3: 12.33

```
data_YIrRh
_chemical_formula_sum 'Y2 Ir2 Rh2'
_cell_length_a 2.954
_cell_length_b 2.954
_cell_length_c 11.849
_cell_angle_alpha 90.00
_cell_angle_beta 90.00
_cell_angle_gamma 90.00
_space_group_name_H-M_alt 'I 4 m m'
_space_group_IT_number 107
_space_group_name_Hall 'I 4 -2'
loop_
_atom_site_label
_atom_site_type_symbol
_atom_site_fract_x
_atom_site_fract_y
_atom_site_fract_z
Y1 Y 0.000 0.000 0.000
Ir1 Ir 0.000 0.000 0.678
Rh1 Rh 0.000 0.000 0.318
```

=====

First-principles (PBEsol) data for an optimized crystal structure of Be2RhBr, as listed in Alexandria.

Summary:
Crystal system: orthorhombic
Energy above the most stable polymorph in this dataset in meV per atom: 429
N(E_F) in states/eV/atom: 0.257
Final energy in eV/f.u.: -16.8
Calculated density in g/cm3: 6.57

```
data_Be2RhBr
_chemical_formula_sum 'Be4 Rh2 Br2'
_cell_length_a 5.381
_cell_length_b 6.416
_cell_length_c 2.941
_cell_angle_alpha 90.00
_cell_angle_beta 90.00
_cell_angle_gamma 90.00
_space_group_name_H-M_alt 'C m m m'
_space_group_IT_number 65
_space_group_name_Hall '-C 2 2'
loop_
_atom_site_label
_atom_site_type_symbol
_atom_site_fract_x
_atom_site_fract_y
_atom_site_fract_z
Be1 Be 0.250 0.250 0.000
Rh1 Rh 0.000 0.000 0.500
Br1 Br 0.000 0.500 0.500
```

=====

First-principles (PBEsol) data for an optimized crystal structure of Zr2CuH2, as listed in Alexandria.

Summary:
Crystal system: tetragonal
N(E_F) in states/eV/atom: 0.771
Final energy in eV/f.u.: -31.1
Calculated density in g/cm3: 6.78

```
data_Zr2CuH2
_chemical_formula_sum 'Zr4 Cu2 H4'
_cell_length_a 3.206
_cell_length_b 3.206
_cell_length_c 11.820
_cell_angle_alpha 90.00
_cell_angle_beta 90.00
_cell_angle_gamma 90.00
_space_group_name_H-M_alt 'I 4/m m m'
_space_group_IT_number 139
_space_group_name_Hall '-I 4 2'
loop_
_atom_site_label
_atom_site_type_symbol
_atom_site_fract_x
_atom_site_fract_y
_atom_site_fract_z
Zr1 Zr 0.000 0.000 0.138
Cu1 Cu 0.000 0.000 0.500
H1 H 0.000 0.500 0.250
```